First-principles (PBE-GGA) data for an optimized crystal structure of CsSb4Cl12, as listed in Alexandria.

Cell lengths 10.723, 10.723, 10.723 Å; angles 90.00, 90.00, 90.00 degrees
Space group Im-3m (No. 229)
Asymmetric unit:
Cs 0.000 0.000 0.000 (multiplicity 2)
Sb 0.250 0.250 0.250 (multiplicity 8)
Cl 0.000 0.247 0.247 (multiplicity 24)

D(E_F) = 5.69 states/eV per cell
magnetic moment = 0.00 μB per formula unit
crystal system = cubic
total energy = -3.2337 eV per atom